Entry 1:
A plane-wave DFT calculation with GGA-PBE was carried out for an optimized crystal structure of Dy4ScIr5.

Properties
The calculation puts the total magnetic moment at 0.00 μB/cell. The total energy comes out at -77.40 eV for the cell shown. For the formation enthalpy at 0 K, the calculation gives -835 meV per atom.

Cell lengths 3.3062, 3.3062, 17.7421 Å; angles 90.00, 90.00, 90.00 degrees
Atoms (fractional coordinates):
Dy1 0.0000 0.0000 0.1022
Dy2 0.0000 0.0000 0.3063
Dy3 0.0000 0.0000 0.6937
Dy4 0.0000 0.0000 0.8978
Sc1 0.0000 0.0000 0.5000
Ir1 0.5000 0.5000 0.0000
Ir2 0.5000 0.5000 0.2048
Ir3 0.5000 0.5000 0.4106
Ir4 0.5000 0.5000 0.5894
Ir5 0.5000 0.5000 0.7952



Entry 2:
A plane-wave DFT calculation with GGA-PBE was carried out for an optimized crystal structure of DySc2Ir.

Properties
The calculation puts the total magnetic moment at 0.00 μB/cell. For the offset from the most stable computed form, the calculation gives 23 meV/atom. The total energy comes out at -56.81 eV for the cell shown. For the formation enthalpy at 0 K, the calculation gives -570 meV per atom.

Cell lengths 6.0676, 6.0676, 8.5021 Å; angles 90.00, 90.00, 143.80 degrees
Atoms (fractional coordinates):
Dy1 0.0645 0.9355 0.7500
Dy2 0.9355 0.0645 0.2500
Sc1 0.3550 0.6450 0.5639
Sc2 0.3550 0.6450 0.9361
Sc3 0.6450 0.3550 0.0639
Sc4 0.6450 0.3550 0.4361
Ir1 0.2455 0.7545 0.2500
Ir2 0.7545 0.2455 0.7500



Entry 3:
A plane-wave DFT calculation with GGA-PBE was carried out for an optimized crystal structure of DyScIr2.

Properties
The calculation puts the total magnetic moment at 0.00 μB/cell. The total energy comes out at -32.24 eV for the cell shown. For the formation enthalpy at 0 K, the calculation gives -897 meV per atom.

Cell lengths 3.2316, 3.2316, 7.0392 Å; angles 90.00, 90.00, 90.00 degrees
Atoms (fractional coordinates):
Dy1 0.0000 0.0000 0.0000
Sc1 0.0000 0.0000 0.5000
Ir1 0.5000 0.5000 0.2689
Ir2 0.5000 0.5000 0.7311



Entry 4:
A plane-wave DFT calculation with GGA-PBE was carried out for an optimized crystal structure of DySc2Ir3.

Properties
The calculation puts the total magnetic moment at 0.00 μB/cell. The total energy comes out at -49.41 eV for the cell shown. For the formation enthalpy at 0 K, the calculation gives -927 meV per atom.

Cell lengths 3.1820, 3.1820, 10.5704 Å; angles 90.00, 90.00, 90.00 degrees
Atoms (fractional coordinates):
Dy1 0.0000 0.0000 0.0000
Sc1 0.0000 0.0000 0.3399
Sc2 0.0000 0.0000 0.6601
Ir1 0.5000 0.5000 0.1842
Ir2 0.5000 0.5000 0.5000
Ir3 0.5000 0.5000 0.8158



Entry 5:
A plane-wave DFT calculation with GGA-PBE was carried out for an optimized crystal structure of DySc2Ir9.

Properties
The calculation puts the total magnetic moment at 0.00 μB/cell. The total energy comes out at -103.53 eV for the cell shown. For the formation enthalpy at 0 K, the calculation gives -543 meV per atom.

Cell lengths 9.1724, 9.1724, 9.1724 Å; angles 33.23, 33.23, 33.23 degrees
Atoms (fractional coordinates):
Dy1 0.0000 0.0000 0.0000
Sc1 0.1394 0.1394 0.1394
Sc2 0.8606 0.8606 0.8606
Ir1 0.0817 0.5853 0.5853
Ir2 0.3337 0.3337 0.3337
Ir3 0.4147 0.4147 0.9183
Ir4 0.4147 0.9183 0.4147
Ir5 0.5000 0.5000 0.5000
Ir6 0.5853 0.0817 0.5853
Ir7 0.5853 0.5853 0.0817
Ir8 0.6663 0.6663 0.6663
Ir9 0.9183 0.4147 0.4147



Entry 6:
A plane-wave DFT calculation with GGA-PBE was carried out for an optimized crystal structure of Dy3ScIr4.

Properties
The calculation puts the total magnetic moment at 0.00 μB/cell. The total energy comes out at -62.31 eV for the cell shown. For the formation enthalpy at 0 K, the calculation gives -841 meV per atom.

Cell lengths 7.7620, 7.7620, 7.7620 Å; angles 144.85, 144.85, 50.57 degrees
Atoms (fractional coordinates):
Dy1 0.0000 0.0000 0.0000
Dy2 0.2510 0.2510 0.0000
Dy3 0.7490 0.7490 0.0000
Sc1 0.5000 0.5000 0.0000
Ir1 0.1204 0.6204 0.5000
Ir2 0.3796 0.8796 0.5000
Ir3 0.6204 0.1204 0.5000
Ir4 0.8796 0.3796 0.5000